Compound: Sm2DyP3Rh12
Source: Alexandria via LeMat-Bulk
Functional: PBE
Structure: relaxed

The space group is R-3m (No. 166, hexagonal axes) and the conventional cell measures 9.0064, 9.0064 and 12.8524 Å, with angles of 90.00, 90.00 and 120.00 degrees. The inequivalent atoms are Sm at (0.0000, 0.0000, 0.1277), Dy at (0.0000, 0.0000, 0.5000), P at (0.0000, 0.5000, 0.0000), Rh at (0.0093, 0.5046, 0.8265) and Rh at (0.0284, 0.5142, 0.3814).

The density of states at the Fermi level is 18.033 states/eV/f.u. The total magnetization comes out at 0.00 μB/cell. For the total energy, the calculation gives -6.9499 eV per atom.

---

Compound: MgReC
Source: Alexandria via LeMat-Bulk
Functional: PBE
Structure: relaxed

The space group is P2_1/m (No. 11) and the conventional cell measures 4.3533, 3.0962 and 5.8877 Å, with angles of 90.00, 109.34 and 90.00 degrees. The inequivalent atoms are Mg at (0.2239, 0.2500, 0.4331), Re at (0.2349, 0.2500, 0.9254) and C at (0.3312, 0.7500, 0.1892).

The density of states at the Fermi level is 0.819 states/eV/f.u. The total magnetization comes out at 0.00 μB/cell. For the total energy, the calculation gives -7.4095 eV per atom.

---

Compound: PRuW2
Source: Alexandria via LeMat-Bulk
Functional: PBE
Structure: relaxed

The space group is Cmmm (No. 65) and the conventional cell measures 5.0916, 7.9748 and 2.8890 Å, with angles of 90.00, 90.00 and 90.00 degrees. The inequivalent atoms are P at (0.0000, 0.0000, 0.0000), Ru at (0.0000, 0.5000, 0.0000) and W at (0.2500, 0.2500, 0.5000).

The density of states at the Fermi level is 2.885 states/eV/f.u. The total magnetization comes out at 0.00 μB/cell. For the total energy, the calculation gives -9.9107 eV per atom.

---

no.,energy of formation (eV per atom)
1,-0.37
2,0.35
3,0.24